Entry from Alexandria via LeMat-Bulk: crystalline PuTiMnGa at its relaxed geometry (GGA-PBE).

The space group is F-43m (No. 216) and the conventional cell measures 6.436, 6.436 and 6.436 Å, with angles of 90.00, 90.00 and 90.00 degrees. The inequivalent atoms are Pu at (0.000, 0.000, 0.000), Ti at (0.250, 0.250, 0.750), Mn at (0.250, 0.250, 0.250) and Ga at (0.000, 0.000, 0.500).

As for the density of states at the Fermi level: 24.24 states/eV/cell. The formation energy from the elements is -0.15 eV per atom.

Entry from Alexandria via LeMat-Bulk: crystalline TmPuMnGa at its relaxed geometry (GGA-PBE).

The space group is F-43m (No. 216) and the conventional cell measures 7.041, 7.041 and 7.041 Å, with angles of 90.00, 90.00 and 90.00 degrees. The inequivalent atoms are Tm at (0.000, 0.000, 0.000), Pu at (0.000, 0.000, 0.500), Mn at (0.250, 0.250, 0.750) and Ga at (0.250, 0.250, 0.250).

As for the density of states at the Fermi level: 52.36 states/eV/cell. The formation energy from the elements is 0.07 eV per atom.

Entry from Alexandria via LeMat-Bulk: crystalline PuUMnGa at its relaxed geometry (GGA-PBE).

The space group is F-43m (No. 216) and the conventional cell measures 6.636, 6.636 and 6.636 Å, with angles of 90.00, 90.00 and 90.00 degrees. The inequivalent atoms are Pu at (0.000, 0.000, 0.000), U at (0.250, 0.250, 0.250), Mn at (0.000, 0.000, 0.500) and Ga at (0.250, 0.250, 0.750).

As for the density of states at the Fermi level: 28.83 states/eV/cell. The formation energy from the elements is -0.04 eV per atom.

Entry from Alexandria via LeMat-Bulk: crystalline PuMnZnGa at its relaxed geometry (GGA-PBE).

The space group is F-43m (No. 216) and the conventional cell measures 6.578, 6.578 and 6.578 Å, with angles of 90.00, 90.00 and 90.00 degrees. The inequivalent atoms are Pu at (0.000, 0.000, 0.000), Mn at (0.250, 0.250, 0.250), Zn at (0.250, 0.250, 0.750) and Ga at (0.000, 0.000, 0.500).

As for the density of states at the Fermi level: 15.42 states/eV/cell. The formation energy from the elements is 0.00 eV per atom.

Entry from Alexandria via LeMat-Bulk: crystalline RbMnGa3 at its relaxed geometry (GGA-PBE).

The space group is Pm-3m (No. 221) and the conventional cell measures 5.539, 5.539 and 5.539 Å, with angles of 90.00, 90.00 and 90.00 degrees. The inequivalent atoms are Rb at (0.000, 0.000, 0.000), Mn at (0.500, 0.500, 0.500) and Ga at (0.000, 0.000, 0.500).

As for the density of states at the Fermi level: 5.89 states/eV/cell. The formation energy from the elements is 1.58 eV per atom.

Entry from Alexandria via LeMat-Bulk: crystalline RbMnGa3 at its relaxed geometry (GGA-PBE).

The space group is Pm-3m (No. 221) and the conventional cell measures 4.879, 4.879 and 4.879 Å, with angles of 90.00, 90.00 and 90.00 degrees. The inequivalent atoms are Rb at (0.000, 0.000, 0.000), Mn at (0.500, 0.500, 0.500) and Ga at (0.000, 0.500, 0.500).

As for the density of states at the Fermi level: 1.45 states/eV/cell. The formation energy from the elements is -0.02 eV per atom.

Entry from Alexandria via LeMat-Bulk: crystalline Rb2MnGaS4 at its relaxed geometry (GGA-PBE).

The space group is Fddd (No. 70, origin choice 2) and the conventional cell measures 5.928, 14.133 and 22.836 Å, with angles of 90.00, 90.00 and 90.00 degrees. The inequivalent atoms are Rb at (0.125, 0.125, 0.303), Mn at (0.125, 0.125, 0.125), Ga at (0.125, 0.125, 0.625) and S at (0.124, 0.278, 0.423).

As for the density of states at the Fermi level: 16.02 states/eV/cell. Its uncorrected formation energy is -7.31 eV/f.u.

Entry from Alexandria via LeMat-Bulk: crystalline Rb2MnGaSe4 at its relaxed geometry (GGA-PBE).

The space group is Fddd (No. 70, origin choice 2) and the conventional cell measures 6.163, 14.472 and 23.566 Å, with angles of 90.00, 90.00 and 90.00 degrees. The inequivalent atoms are Rb at (0.125, 0.125, 0.305), Mn at (0.125, 0.125, 0.125), Ga at (0.125, 0.125, 0.625) and Se at (0.124, 0.277, 0.822).

As for the density of states at the Fermi level: 27.13 states/eV/cell. Its uncorrected formation energy is -6.74 eV/f.u.

Entry from Alexandria via LeMat-Bulk: crystalline RbMnGa2Sn at its relaxed geometry (GGA-PBE).

The space group is P4/mmm (No. 123) and the conventional cell measures 4.870, 4.870 and 4.965 Å, with angles of 90.00, 90.00 and 90.00 degrees. The inequivalent atoms are Rb at (0.000, 0.000, 0.000), Mn at (0.500, 0.500, 0.500), Ga at (0.000, 0.500, 0.500) and Sn at (0.500, 0.500, 0.000).

As for the density of states at the Fermi level: 0.59 states/eV/cell. The formation energy from the elements is -0.03 eV per atom.

Entry from Alexandria via LeMat-Bulk: crystalline RbMnGa2Sn at its relaxed geometry (GGA-PBE).

The space group is P4/mmm (No. 123) and the conventional cell measures 5.303, 5.303 and 4.903 Å, with angles of 90.00, 90.00 and 90.00 degrees. The inequivalent atoms are Rb at (0.000, 0.000, 0.000), Mn at (0.000, 0.000, 0.500), Ga at (0.000, 0.500, 0.000) and Sn at (0.500, 0.500, 0.500).

As for the density of states at the Fermi level: 3.18 states/eV/cell. The formation energy from the elements is 1.62 eV per atom.

Entry from Alexandria via LeMat-Bulk: crystalline RbMnGaTe3 at its relaxed geometry (GGA-PBE).

The space group is P2_1/m (No. 11) and the conventional cell measures 9.487, 3.984 and 11.171 Å, with angles of 90.00, 112.35 and 90.00 degrees. The inequivalent atoms are Rb at (0.234, 0.250, 0.279), Mn at (0.352, 0.750, 0.840), Ga at (0.106, 0.250, 0.561), Te at (0.139, 0.250, 0.816), Te at (0.334, 0.750, 0.591) and Te at (0.429, 0.750, 0.101).

As for the density of states at the Fermi level: 5.40 states/eV/cell. Its uncorrected formation energy is -2.52 eV/f.u.

Entry from Alexandria via LeMat-Bulk: crystalline Rb2MnGaTe4 at its relaxed geometry (GGA-PBE).

The space group is Fddd (No. 70, origin choice 2) and the conventional cell measures 6.580, 15.147 and 25.073 Å, with angles of 90.00, 90.00 and 90.00 degrees. The inequivalent atoms are Rb at (0.125, 0.125, 0.308), Mn at (0.125, 0.125, 0.125), Ga at (0.125, 0.125, 0.625) and Te at (0.124, 0.274, 0.818).

As for the density of states at the Fermi level: 25.89 states/eV/cell. Its uncorrected formation energy is -4.72 eV/f.u.

Number 1: final energy -140.04 eV/cell. Number 2: final energy -122.88 eV/cell. Number 3: final energy -151.88 eV/cell. Number 4: final energy -111.27 eV/cell. Number 5: final energy -11.31 eV/cell. Number 6: final energy -19.34 eV/cell. Number 7: final energy -303.65 eV/cell. Number 8: final energy -278.51 eV/cell. Number 9: final energy -20.37 eV/cell. Number 10: final energy -12.10 eV/cell. Number 11: final energy -50.22 eV/cell. Number 12: final energy -251.37 eV/cell.